Density functional theory data (GGA-PBE) for a relaxed structure of NpPaSeS2.

## Properties
mass density	8.6	g/cm3
DOS at the Fermi energy	19.5	states/eV per cell
electronic total energy	-82.761	eV for the cell shown
size of the total moment	11.04	μB per cell
space group	P2_1/m

a = 7.1094 Å, b = 3.8760 Å, c = 8.6017 Å
α = 90.00°, β = 93.55°, γ = 90.00°
Closest atoms and distances in Å follow each position.
Sites, in units of the cell vectors:
1 Np 0.2494 0.2500 0.4052  4 S 2.73-3.02, 3 Se 2.90-3.00
2 Np 0.7506 0.7500 0.5948  4 S 2.73-3.02, 3 Se 2.90-3.00
3 Pa 0.3184 0.7500 0.8330  5 S 2.76-2.80, 2 Se 2.98
4 Pa 0.6816 0.2500 0.1670  5 S 2.76-2.80, 2 Se 2.98
5 Se 0.0367 0.2500 0.6959  3 Np 2.90-3.00, 2 Pa 2.98
6 Se 0.9633 0.7500 0.3041  3 Np 2.90-3.00, 2 Pa 2.98
7 S 0.3015 0.2500 0.0598  3 Pa 2.76-2.80, 1 Np 3.02
8 S 0.4980 0.2500 0.6652  3 Np 2.73-2.76, 2 Pa 2.77
9 S 0.5020 0.7500 0.3348  3 Np 2.73-2.76, 2 Pa 2.77
10 S 0.6985 0.7500 0.9402  3 Pa 2.76-2.80, 1 Np 3.02



Density functional theory data (GGA-PBE) for a relaxed structure of Ac3Ga2Pt3.

## Properties
mass density	11.7	g/cm3
E_form	-982.3	meV per atom
DOS at the Fermi energy	13.4	states/eV per cell
size of the total moment	0.00	μB per cell
space group	Cmcm

a = 6.3392 Å, b = 6.3392 Å, c = 15.1268 Å
α = 90.00°, β = 90.00°, γ = 138.80°
Closest atoms and distances in Å follow each position.
Sites, in units of the cell vectors:
1 Ac 0.0829 0.9171 0.6070  6 Pt 3.22-3.37, 4 Ga 3.29-3.55
2 Ac 0.0829 0.9171 0.8930  6 Pt 3.22-3.37, 4 Ga 3.29-3.55
3 Ac 0.3639 0.6361 0.7500  4 Pt 3.11, 4 Ga 3.47
4 Ac 0.6361 0.3639 0.2500  4 Pt 3.11, 4 Ga 3.47
5 Ac 0.9171 0.0829 0.1070  6 Pt 3.22-3.37, 4 Ga 3.29-3.55
6 Ac 0.9171 0.0829 0.3930  6 Pt 3.22-3.37, 4 Ga 3.29-3.55
7 Ga 0.2149 0.7851 0.0858  4 Pt 2.60-2.83
8 Ga 0.2149 0.7851 0.4142  4 Pt 2.60-2.83
9 Ga 0.7851 0.2149 0.5858  4 Pt 2.60-2.83
10 Ga 0.7851 0.2149 0.9142  4 Pt 2.60-2.83
11 Pt 0.3182 0.6818 0.2500  2 Ga 2.77
12 Pt 0.3858 0.6142 0.5449  3 Ga 2.60-2.83
13 Pt 0.3858 0.6142 0.9551  3 Ga 2.60-2.83
14 Pt 0.6142 0.3858 0.0449  3 Ga 2.60-2.83
15 Pt 0.6142 0.3858 0.4551  3 Ga 2.60-2.83
16 Pt 0.6818 0.3182 0.7500  2 Ga 2.77



Density functional theory data (GGA-PBE) for a relaxed structure of Pu2Cu2AgPd5.

## Properties
mass density	11.8	g/cm3
E_form	-334.6	meV per atom
DOS at the Fermi energy	70.3	states/eV per cell
size of the total moment	20.71	μB per cell
space group	P4/mbm

a = 9.4631 Å, b = 9.4631 Å, c = 3.9452 Å
α = 90.00°, β = 90.00°, γ = 90.00°
Closest atoms and distances in Å follow each position.
Sites, in units of the cell vectors:
1 Pu 0.1775 0.3225 0.0000  3 Cu 2.71-2.86
2 Pu 0.3225 0.8225 0.0000  3 Cu 2.71-2.86
3 Pu 0.6775 0.1775 0.0000  3 Cu 2.71-2.86
4 Pu 0.8225 0.6775 0.0000  3 Cu 2.71-2.86
5 Cu 0.1197 0.6197 0.0000  6 Pd 2.54-2.62, 1 Pu 2.71
6 Cu 0.3803 0.1197 0.0000  6 Pd 2.54-2.62, 1 Pu 2.71
7 Cu 0.6197 0.8803 0.0000  6 Pd 2.54-2.62, 1 Pu 2.71
8 Cu 0.8803 0.3803 0.0000  6 Pd 2.54-2.62, 1 Pu 2.71
9 Ag 0.0000 0.0000 0.0000  8 Pd 2.85
10 Ag 0.5000 0.5000 0.0000  8 Pd 2.85
11 Pd 0.0000 0.5000 0.5000  4 Cu 2.54
12 Pd 0.0682 0.7937 0.5000  2 Cu 2.62, 2 Ag 2.85, 3 Pd 2.85-2.91
13 Pd 0.2063 0.0682 0.5000  2 Cu 2.62, 2 Ag 2.85, 3 Pd 2.85-2.91
14 Pd 0.2937 0.5682 0.5000  2 Cu 2.62, 2 Ag 2.85, 3 Pd 2.85-2.91
15 Pd 0.4318 0.2937 0.5000  2 Cu 2.62, 2 Ag 2.85, 3 Pd 2.85-2.91
16 Pd 0.5000 0.0000 0.5000  4 Cu 2.54
17 Pd 0.5682 0.7063 0.5000  2 Cu 2.62, 2 Ag 2.85, 3 Pd 2.85-2.91
18 Pd 0.7063 0.4318 0.5000  2 Cu 2.62, 2 Ag 2.85, 3 Pd 2.85-2.91
19 Pd 0.7937 0.9318 0.5000  2 Cu 2.62, 2 Ag 2.85, 3 Pd 2.85-2.91
20 Pd 0.9318 0.2063 0.5000  2 Cu 2.62, 2 Ag 2.85, 3 Pd 2.85-2.91



Density functional theory data (GGA-PBE) for a relaxed structure of PuTc2Ge.

## Properties
mass density	12.8	g/cm3
E_form	-100.1	meV per atom
DOS at the Fermi energy	6.2	states/eV per cell
polymorph energy (0 for the lowest one)	0.0287	eV/atom
size of the total moment	2.53	μB per cell
space group	P4/mmm

a = 4.3209 Å, b = 4.3209 Å, c = 3.5501 Å
α = 90.00°, β = 90.00°, γ = 90.00°
Closest atoms and distances in Å follow each position.
Sites, in units of the cell vectors:
1 Pu 0.0000 0.0000 0.0000  8 Tc 2.80, 4 Ge 3.06
2 Tc 0.0000 0.5000 0.5000  4 Ge 2.80, 4 Pu 2.80, 4 Tc 3.06
3 Tc 0.5000 0.0000 0.5000  4 Ge 2.80, 4 Pu 2.80, 4 Tc 3.06
4 Ge 0.5000 0.5000 0.0000  8 Tc 2.80, 4 Pu 3.06



Density functional theory data (GGA-PBE) for a relaxed structure of AgF3.

## Properties
mass density	5.0	g/cm3
DOS at the Fermi energy	24.8	states/eV per cell
polymorph energy (0 for the lowest one)	0.5485	eV/atom
size of the total moment	0.00	μB per cell
space group	I-42d

a = 3.9634 Å, b = 3.9634 Å, c = 14.0324 Å
α = 90.00°, β = 90.00°, γ = 90.00°
Closest atoms and distances in Å follow each position.
Sites, in units of the cell vectors:
1 Ag 0.0000 0.0000 0.0000  4 F 2.16
2 Ag 0.0000 0.5000 0.2500  4 F 2.16
3 Ag 0.5000 0.0000 0.7500  4 F 2.16
4 Ag 0.5000 0.5000 0.5000  4 F 2.16
5 F 0.0000 0.0000 0.5000  4 F 2.35
6 F 0.0000 0.5000 0.7500  4 F 2.35
7 F 0.1968 0.2500 0.1250  2 Ag 2.16, 2 F 2.35
8 F 0.2500 0.6968 0.3750  2 Ag 2.16, 2 F 2.35
9 F 0.2500 0.8032 0.8750  2 Ag 2.16, 2 F 2.35
10 F 0.3032 0.2500 0.6250  2 Ag 2.16, 2 F 2.35
11 F 0.5000 0.0000 0.2500  4 F 2.35
12 F 0.5000 0.5000 0.0000  4 F 2.35
13 F 0.6968 0.7500 0.6250  2 Ag 2.16, 2 F 2.35
14 F 0.7500 0.1968 0.8750  2 Ag 2.16, 2 F 2.35
15 F 0.7500 0.3032 0.3750  2 Ag 2.16, 2 F 2.35
16 F 0.8032 0.7500 0.1250  2 Ag 2.16, 2 F 2.35



Density functional theory data (GGA-PBE) for a relaxed structure of BaTc3Ir.

## Properties
mass density	9.2	g/cm3
E_form	3366.4	meV per atom
DOS at the Fermi energy	6.4	states/eV per cell
polymorph energy (0 for the lowest one)	2.0840	eV/atom
size of the total moment	1.28	μB per cell
space group	Pm-3m

a = 4.8196 Å, b = 4.8196 Å, c = 4.8196 Å
α = 90.00°, β = 90.00°, γ = 90.00°
Closest atoms and distances in Å follow each position.
Sites, in units of the cell vectors:
1 Ba 0.0000 0.0000 0.0000  6 Tc 2.41
2 Tc 0.0000 0.0000 0.5000  2 Ba 2.41
3 Tc 0.0000 0.5000 0.0000  2 Ba 2.41
4 Tc 0.5000 0.0000 0.0000  2 Ba 2.41
5 Ir 0.5000 0.5000 0.5000  12 Tc 3.41



Density functional theory data (GGA-PBE) for a relaxed structure of Ta2ZnNi4.

## Properties
mass density	9.9	g/cm3
E_form	754.5	meV per atom
DOS at the Fermi energy	16.4	states/eV per cell
size of the total moment	0.00	μB per cell
space group	I4/mmm

a = 4.2298 Å, b = 4.2298 Å, c = 12.4735 Å
α = 90.00°, β = 90.00°, γ = 90.00°
Closest atoms and distances in Å follow each position.
Sites, in units of the cell vectors:
1 Ta 0.0000 0.0000 0.1254  1 Ni 2.34
2 Ta 0.0000 0.0000 0.8746  1 Ni 2.34
3 Ta 0.5000 0.5000 0.3746  1 Ni 2.34
4 Ta 0.5000 0.5000 0.6254  1 Ni 2.34
5 Zn 0.0000 0.0000 0.5000  6 Ni 2.11-2.33
6 Zn 0.5000 0.5000 0.0000  6 Ni 2.11-2.33
7 Ni 0.0000 0.0000 0.3128  1 Zn 2.33, 1 Ta 2.34
8 Ni 0.0000 0.0000 0.6872  1 Zn 2.33, 1 Ta 2.34
9 Ni 0.0000 0.5000 0.0000  2 Zn 2.11
10 Ni 0.0000 0.5000 0.5000  2 Zn 2.11
11 Ni 0.5000 0.0000 0.0000  2 Zn 2.11
12 Ni 0.5000 0.0000 0.5000  2 Zn 2.11
13 Ni 0.5000 0.5000 0.1872  1 Zn 2.33, 1 Ta 2.34
14 Ni 0.5000 0.5000 0.8128  1 Zn 2.33, 1 Ta 2.34



Density functional theory data (GGA-PBE) for a relaxed structure of Ta14OsW.

## Properties
mass density	16.9	g/cm3
E_form	-90.1	meV per atom
DOS at the Fermi energy	18.0	states/eV per cell
size of the total moment	0.00	μB per cell
space group	Cmmm

a = 5.6999 Å, b = 5.6999 Å, c = 9.3033 Å
α = 90.00°, β = 90.00°, γ = 109.51°
Closest atoms and distances in Å follow each position.
Sites, in units of the cell vectors:
1 Ta 0.0000 0.0000 0.0000  8 Ta 2.85-2.92
2 Ta 0.0000 0.5000 0.0000  8 Ta 2.84-2.85
3 Ta 0.0000 0.5000 0.5000  2 W 2.85, 2 Os 2.85, 4 Ta 2.86
4 Ta 0.2491 0.7509 0.2482  8 Ta 2.84-2.86
5 Ta 0.2491 0.7509 0.7518  8 Ta 2.84-2.86
6 Ta 0.2505 0.2505 0.2596  1 Os 2.77, 1 W 2.78, 6 Ta 2.85-2.92
7 Ta 0.2505 0.2505 0.7404  1 Os 2.77, 1 W 2.78, 6 Ta 2.85-2.92
8 Ta 0.5000 0.0000 0.0000  8 Ta 2.84-2.85
9 Ta 0.5000 0.0000 0.5000  2 W 2.85, 2 Os 2.85, 4 Ta 2.86
10 Ta 0.5000 0.5000 0.0000  8 Ta 2.85-2.92
11 Ta 0.7495 0.7495 0.2596  1 Os 2.77, 1 W 2.78, 6 Ta 2.85-2.92
12 Ta 0.7495 0.7495 0.7404  1 Os 2.77, 1 W 2.78, 6 Ta 2.85-2.92
13 Ta 0.7509 0.2491 0.2482  8 Ta 2.84-2.86
14 Ta 0.7509 0.2491 0.7518  8 Ta 2.84-2.86
15 Os 0.5000 0.5000 0.5000  8 Ta 2.77-2.85
16 W 0.0000 0.0000 0.5000  8 Ta 2.78-2.85



Density functional theory data (GGA-PBE) for a relaxed structure of In4I2Br.

## Properties
mass density	4.5	g/cm3
DOS at the Fermi energy	4.5	states/eV per cell
electronic total energy	-33.609	eV for the cell shown
size of the total moment	0.00	μB per cell
space group	I4/mmm

a = 5.9710 Å, b = 5.9710 Å, c = 16.3258 Å
α = 90.00°, β = 90.00°, γ = 90.00°
Closest atoms and distances in Å follow each position.
Sites, in units of the cell vectors:
1 In 0.0000 0.0000 0.1067  1 I 2.82
2 In 0.0000 0.0000 0.8933  1 I 2.82
3 In 0.0000 0.5000 0.0000  2 Br 2.99
4 In 0.0000 0.5000 0.5000  2 Br 2.99
5 In 0.5000 0.0000 0.0000  2 Br 2.99
6 In 0.5000 0.0000 0.5000  2 Br 2.99
7 In 0.5000 0.5000 0.3933  1 I 2.82
8 In 0.5000 0.5000 0.6067  1 I 2.82
9 I 0.0000 0.0000 0.2794  1 In 2.82
10 I 0.0000 0.0000 0.7206  1 In 2.82
11 I 0.5000 0.5000 0.2206  1 In 2.82
12 I 0.5000 0.5000 0.7794  1 In 2.82
13 Br 0.0000 0.0000 0.5000  4 In 2.99
14 Br 0.5000 0.5000 0.0000  4 In 2.99



Density functional theory data (GGA-PBE) for a relaxed structure of Mg2GaAg2.

## Properties
mass density	5.6	g/cm3
E_form	-39.3	meV per atom
DOS at the Fermi energy	2.7	states/eV per cell
polymorph energy (0 for the lowest one)	0.1217	eV/atom
size of the total moment	0.00	μB per cell
space group	P4/mbm

a = 8.0255 Å, b = 8.0255 Å, c = 3.0838 Å
α = 90.00°, β = 90.00°, γ = 90.00°
Closest atoms and distances in Å follow each position.
Sites, in units of the cell vectors:
1 Mg 0.1495 0.3505 0.0000  6 Ag 2.78-2.83, 2 Ga 3.06, 2 Mg 3.08
2 Mg 0.3505 0.8505 0.0000  6 Ag 2.78-2.83, 2 Ga 3.06, 2 Mg 3.08
3 Mg 0.6495 0.1495 0.0000  6 Ag 2.78-2.83, 2 Ga 3.06, 2 Mg 3.08
4 Mg 0.8505 0.6495 0.0000  6 Ag 2.78-2.83, 2 Ga 3.06, 2 Mg 3.08
5 Ga 0.0000 0.0000 0.0000  4 Mg 3.06, 2 Ga 3.08
6 Ga 0.5000 0.5000 0.0000  4 Mg 3.06, 2 Ga 3.08
7 Ag 0.1462 0.6462 0.5000  6 Mg 2.78-2.83, 2 Ag 3.08
8 Ag 0.3538 0.1462 0.5000  6 Mg 2.78-2.83, 2 Ag 3.08
9 Ag 0.6462 0.8538 0.5000  6 Mg 2.78-2.83, 2 Ag 3.08
10 Ag 0.8538 0.3538 0.5000  6 Mg 2.78-2.83, 2 Ag 3.08



Density functional theory data (GGA-PBE) for a relaxed structure of La2TbDy.

## Properties
mass density	7.2	g/cm3
E_form	91.2	meV per atom
DOS at the Fermi energy	29.6	states/eV per cell
polymorph energy (0 for the lowest one)	0.0804	eV/atom
size of the total moment	0.00	μB per cell
space group	Fm-3m

a = 8.2210 Å, b = 8.2210 Å, c = 8.2210 Å
α = 90.00°, β = 90.00°, γ = 90.00°
Closest atoms and distances in Å follow each position.
Sites, in units of the cell vectors:
1 La 0.2500 0.2500 0.2500  4 Dy 3.56, 4 Tb 3.56
2 La 0.2500 0.2500 0.7500  4 Tb 3.56, 4 Dy 3.56
3 La 0.2500 0.7500 0.2500  4 Tb 3.56, 4 Dy 3.56
4 La 0.2500 0.7500 0.7500  4 Dy 3.56, 4 Tb 3.56
5 La 0.7500 0.2500 0.2500  4 Tb 3.56, 4 Dy 3.56
6 La 0.7500 0.2500 0.7500  4 Dy 3.56, 4 Tb 3.56
7 La 0.7500 0.7500 0.2500  4 Dy 3.56, 4 Tb 3.56
8 La 0.7500 0.7500 0.7500  4 Tb 3.56, 4 Dy 3.56
9 Tb 0.0000 0.0000 0.0000  8 La 3.56
10 Tb 0.0000 0.5000 0.5000  8 La 3.56
11 Tb 0.5000 0.0000 0.5000  8 La 3.56
12 Tb 0.5000 0.5000 0.0000  8 La 3.56
13 Dy 0.0000 0.0000 0.5000  8 La 3.56
14 Dy 0.0000 0.5000 0.0000  8 La 3.56
15 Dy 0.5000 0.0000 0.0000  8 La 3.56
16 Dy 0.5000 0.5000 0.5000  8 La 3.56